(1)
Compound: RbMnHgTe3
Source: Alexandria via LeMat-Bulk
Functional: PBE
Structure: optimized geometry

Properties
volume = 392.3 Å³/cell
E_form (uncorrected) = -32 kJ/mol of atoms

Cell: 9.3268 4.0147 10.9383 Å, 90.00 106.72 90.00°
With the nearest neighbours (Å) after each atom.
Element x y z (fractional)
Rb (0.2072, 0.2500, 0.2774)  1 Hg 3.61, 7 Te 3.79-4.03, 2 Rb 4.01
Rb (0.7928, 0.7500, 0.7226)  1 Hg 3.61, 7 Te 3.79-4.03, 2 Rb 4.01
Mn (0.3532, 0.7500, 0.8483)  6 Te 2.65-2.75
Mn (0.6468, 0.2500, 0.1517)  6 Te 2.65-2.75
Hg (0.1082, 0.2500, 0.5735)  2 Hg 2.97, 3 Te 3.00-3.06
Hg (0.8918, 0.7500, 0.4265)  2 Hg 2.97, 3 Te 3.00-3.06
Te (0.1558, 0.2500, 0.8567)  2 Mn 2.74, 1 Hg 3.00
Te (0.3644, 0.7500, 0.6086)  1 Mn 2.65
Te (0.4373, 0.7500, 0.1079)  3 Mn 2.72-2.75
Te (0.5627, 0.2500, 0.8921)  3 Mn 2.72-2.75
Te (0.6356, 0.2500, 0.3914)  1 Mn 2.65
Te (0.8442, 0.7500, 0.1433)  2 Mn 2.74, 1 Hg 3.00



(2)
Compound: MnRe3Hg
Source: Alexandria via LeMat-Bulk
Functional: PBE
Structure: optimized geometry

Properties
formation energy = 3.743 eV/atom
relative energy among the computed polymorphs = 2.156 eV per atom
volume = 113.0 Å³/cell

Cell: 4.8342 4.8342 4.8342 Å, 90.00 90.00 90.00°
With the nearest neighbours (Å) after each atom.
Element x y z (fractional)
Mn (0.0000, 0.0000, 0.0000)  12 Re 3.42
Re (0.0000, 0.5000, 0.5000)  2 Hg 2.42
Re (0.5000, 0.0000, 0.5000)  2 Hg 2.42
Re (0.5000, 0.5000, 0.0000)  2 Hg 2.42
Hg (0.5000, 0.5000, 0.5000)  6 Re 2.42



(3)
Compound: Mn3ReHg
Source: Alexandria via LeMat-Bulk
Functional: PBE
Structure: optimized geometry

Properties
formation energy = 2.008 eV/atom
relative energy among the computed polymorphs = 0.796 eV per atom
volume = 115.2 Å³/cell

Cell: 4.8657 4.8657 4.8657 Å, 90.00 90.00 90.00°
With the nearest neighbours (Å) after each atom.
Element x y z (fractional)
Mn (0.0000, 0.0000, 0.5000)  2 Hg 2.43
Mn (0.0000, 0.5000, 0.0000)  2 Hg 2.43
Mn (0.5000, 0.0000, 0.0000)  2 Hg 2.43
Re (0.5000, 0.5000, 0.5000)  12 Mn 3.44
Hg (0.0000, 0.0000, 0.0000)  6 Mn 2.43